Computed, not measured: an optimized crystal structure of GaHgCl2 at the PBE level of DFT.

Properties
Density, Mg/m³: 4.5
Space group: Pnna, No. 52
Energy, eV per cell: -37.568
Volume, Å³/cell: 503.04
E_form (uncorrected), meV per atom: -593

Geometry as POSCAR:
```
GaHgCl2
1.0
6.318 0.000 0.000
0.000 4.200 0.000
0.000 0.000 18.959
Hg Cl Ga
4 8 4
Cartesian
4.738 4.089 14.219
4.738 1.989 4.740
1.579 0.111 4.740
1.579 2.211 14.219
4.698 2.128 17.208
4.778 0.028 7.729
1.539 2.072 7.729
4.778 2.128 11.230
1.620 2.072 1.751
4.698 0.028 1.751
1.620 4.172 17.208
1.539 4.172 11.230
0.000 1.050 12.358
0.000 3.150 6.601
3.159 3.150 2.878
3.159 1.050 16.081
```